Entry one
Material: Ca2YZr
Method: DFT, GGA-PBEsol
State: relaxed

Calculated values
As for the symmetry: Fm-3m, No. 225.

a b c (Å): 5.557 5.557 5.557
angles (deg): 60.00 60.00 60.00
Positions (direct):
Ca (0.250, 0.250, 0.250)
Ca (0.750, 0.750, 0.750)
Y (0.000, 0.000, 0.000)
Zr (0.500, 0.500, 0.500)

Entry two
Material: Ca2YZr
Method: DFT, GGA-PBEsol
State: relaxed

Calculated values
As for the symmetry: C2/m, No. 12.

a b c (Å): 6.807 6.807 3.335
angles (deg): 101.26 101.26 120.98
Positions (direct):
Ca (0.000, 0.500, 0.000)
Ca (0.500, 0.000, 0.000)
Y (0.000, 0.000, 0.500)
Zr (0.500, 0.500, 0.500)

Entry three
Material: Ca2YZr
Method: DFT, GGA-PBEsol
State: relaxed

Calculated values
As for the symmetry: Immm, No. 71.

a b c (Å): 6.897 6.897 6.897
angles (deg): 149.82 131.54 58.16
Positions (direct):
Ca (0.235, 0.235, 0.000)
Ca (0.765, 0.765, 0.000)
Y (0.500, 0.000, 0.500)
Zr (0.000, 0.500, 0.500)

Entry four
Material: Ca2YZr
Method: DFT, GGA-PBEsol
State: relaxed

Calculated values
As for the symmetry: Cmmm, No. 65.

a b c (Å): 6.300 6.300 3.350
angles (deg): 90.00 90.00 115.32
Positions (direct):
Ca (0.000, 0.500, 0.000)
Ca (0.500, 0.000, 0.000)
Y (0.000, 0.000, 0.500)
Zr (0.500, 0.500, 0.500)

How do the energies compare? Relative to the most stable structure, in meV/atom: entry one 95; entry two 8; entry three 0; entry four 33.